No. 1
# SnBr3

Crystalline SnBr3 at its relaxed geometry (GGA-PBE, Alexandria).

Unit cell a=3.632 b=7.235 c=11.861 alpha=90.00 beta=90.00 gamma=104.54
Element x y z (fractional)
1 Sn 0.300 0.599 0.250
2 Sn 0.700 0.401 0.750
3 Br 0.878 0.757 0.092
4 Br 0.644 0.289 0.250
5 Br 0.122 0.243 0.592
6 Br 0.356 0.711 0.750
7 Br 0.878 0.757 0.408
8 Br 0.122 0.243 0.908

Properties
V   150.9 Å³/f.u.
Magnetic moment   0.00 μB per cell

No. 2
# Sn2Br

Crystalline Sn2Br at its relaxed geometry (GGA-PBE, Alexandria).

Unit cell a=6.308 b=6.308 c=6.308 alpha=60.00 beta=60.00 gamma=60.00
Element x y z (fractional)
1 Br 0.250 0.250 0.250
2 Br 0.000 0.000 0.000
3 Sn 0.625 0.125 0.625
4 Sn 0.625 0.625 0.125
5 Sn 0.625 0.625 0.625
6 Sn 0.125 0.625 0.625

Properties
V   88.7 Å³/f.u.
Magnetic moment   0.00 μB per cell

No. 3
# Sr4SnBr5

Crystalline Sr4SnBr5 at its relaxed geometry (GGA-PBE, Alexandria).

Unit cell a=4.410 b=9.624 c=10.216 alpha=105.97 beta=102.46 gamma=90.00
Site moments in Bohr magnetons follow the coordinates.
Element x y z (fractional)
1 Br 0.500 0.500 0.000  0.00
2 Br 0.169 0.875 0.339  0.00
3 Br 0.831 0.125 0.661  0.00
4 Br 0.168 0.334 0.337  0.00
5 Br 0.832 0.666 0.663  0.00
6 Sr 0.004 0.259 0.007  0.00
7 Sr 0.329 0.885 0.658  0.01
8 Sr 0.671 0.115 0.342  0.01
9 Sr 0.996 0.741 0.993  0.00
10 Sn 0.500 0.000 0.000  0.10

Properties
V   406.2 Å³/f.u.
Magnetic moment   0.32 μB per cell

No. 4
# Sr5Sn3Br16

Crystalline Sr5Sn3Br16 at its relaxed geometry (GGA-PBE, Alexandria).

Unit cell a=9.010 b=9.010 c=13.953 alpha=91.12 beta=91.12 gamma=60.06
Element x y z (fractional)
1 Sr 0.334 0.830 0.786
2 Sr 0.669 0.669 0.514
3 Sr 0.166 0.166 0.285
4 Sr 0.337 0.337 0.016
5 Sr 0.830 0.334 0.786
6 Br 0.669 0.669 0.904
7 Br 0.669 0.169 0.903
8 Br 0.033 0.488 0.159
9 Br 0.969 0.521 0.662
10 Br 0.834 0.834 0.400
11 Br 0.838 0.328 0.403
12 Br 0.169 0.669 0.903
13 Br 0.488 0.033 0.159
14 Br 0.328 0.838 0.403
15 Br 0.993 0.993 0.674
16 Br 0.165 0.165 0.903
17 Br 0.521 0.969 0.662
18 Br 0.517 0.517 0.653
19 Br 0.334 0.334 0.404
20 Br 0.486 0.486 0.166
21 Br 0.992 0.992 0.175
22 Sn 0.660 0.167 0.287
23 Sn 0.167 0.660 0.287
24 Sn 0.830 0.830 0.787

Properties
V   981.3 Å³/f.u.
Magnetic moment   0.00 μB per cell

No. 5
# SrSn5Br12

Crystalline SrSn5Br12 at its relaxed geometry (GGA-PBE, Alexandria).

Unit cell a=7.670 b=7.694 c=14.034 alpha=89.98 beta=89.97 gamma=60.10
Element x y z (fractional)
1 Br 0.833 0.667 0.616
2 Br 0.166 0.000 0.616
3 Br 0.499 0.333 0.616
4 Br 0.834 0.000 0.384
5 Br 0.662 0.338 0.116
6 Br 0.167 0.333 0.384
7 Br 0.339 0.000 0.116
8 Br 0.338 0.662 0.884
9 Br 0.501 0.667 0.384
10 Br 0.000 0.662 0.116
11 Br 0.661 0.000 0.884
12 Br 0.000 0.338 0.884
13 Sn 0.167 0.667 0.500
14 Sn 0.667 0.667 0.000
15 Sn 0.333 0.333 0.000
16 Sn 0.500 0.000 0.500
17 Sn 0.833 0.333 0.500
18 Sr 0.000 0.000 0.000

Properties
V   718.0 Å³/f.u.
Magnetic moment   0.00 μB per cell

No. 6
# Sr2SnBr6

Crystalline Sr2SnBr6 at its relaxed geometry (GGA-PBE, Alexandria).

Unit cell a=7.128 b=7.128 c=13.955 alpha=90.00 beta=90.00 gamma=90.00
Element x y z (fractional)
1 Sn 0.000 0.000 0.000
2 Sn 0.500 0.500 0.500
3 Br 0.694 0.694 0.336
4 Br 0.700 0.700 0.000
5 Br 0.306 0.306 0.336
6 Br 0.194 0.806 0.836
7 Br 0.806 0.194 0.164
8 Br 0.300 0.300 0.000
9 Br 0.806 0.194 0.836
10 Br 0.200 0.800 0.500
11 Br 0.306 0.306 0.664
12 Br 0.694 0.694 0.664
13 Br 0.800 0.200 0.500
14 Br 0.194 0.806 0.164
15 Sr 0.500 0.500 0.167
16 Sr 0.500 0.500 0.833
17 Sr 0.000 0.000 0.333
18 Sr 0.000 0.000 0.667

Properties
V   354.5 Å³/f.u.
Magnetic moment   0.00 μB per cell

No. 7
# Sr3SnBr

Crystalline Sr3SnBr at its relaxed geometry (GGA-PBE, Alexandria).

Unit cell a=4.877 b=8.600 c=9.459 alpha=102.76 beta=90.00 gamma=90.00
Site moments in Bohr magnetons follow the coordinates.
Element x y z (fractional)
1 Br 0.250 0.861 0.376  0.01
2 Br 0.750 0.139 0.624  0.01
3 Sr 0.750 0.594 0.371  0.06
4 Sr 0.750 0.085 0.280  0.04
5 Sr 0.250 0.685 0.035  0.07
6 Sr 0.250 0.915 0.720  0.04
7 Sr 0.250 0.406 0.629  0.06
8 Sr 0.750 0.315 0.965  0.07
9 Sn 0.750 0.666 0.777  0.01
10 Sn 0.250 0.334 0.223  0.01

Properties
V   193.5 Å³/f.u.
Magnetic moment   1.79 μB per cell

No. 8
# Sr3Sn5Br16

Crystalline Sr3Sn5Br16 at its relaxed geometry (GGA-PBE, Alexandria).

Unit cell a=9.017 b=9.017 c=13.595 alpha=89.45 beta=89.45 gamma=60.02
Element x y z (fractional)
1 Br 0.664 0.664 0.906
2 Br 0.515 0.515 0.658
3 Br 0.033 0.484 0.154
4 Br 0.836 0.836 0.409
5 Br 0.329 0.329 0.407
6 Br 0.003 0.003 0.671
7 Br 0.517 0.965 0.653
8 Br 0.169 0.675 0.905
9 Br 0.481 0.481 0.152
10 Br 0.002 0.002 0.172
11 Br 0.328 0.842 0.403
12 Br 0.675 0.169 0.905
13 Br 0.965 0.517 0.653
14 Br 0.484 0.033 0.154
15 Br 0.165 0.165 0.901
16 Br 0.842 0.328 0.403
17 Sr 0.167 0.665 0.289
18 Sr 0.665 0.167 0.289
19 Sr 0.833 0.833 0.788
20 Sn 0.165 0.165 0.288
21 Sn 0.332 0.833 0.789
22 Sn 0.666 0.666 0.525
23 Sn 0.833 0.332 0.789
24 Sn 0.332 0.332 0.022

Properties
V   957.3 Å³/f.u.
Magnetic moment   0.00 μB per cell

No. 9
# SrSn2Br

Crystalline SrSn2Br at its relaxed geometry (GGA-PBE, Alexandria).

Unit cell a=4.364 b=4.364 c=14.163 alpha=81.14 beta=81.14 gamma=90.00
Element x y z (fractional)
1 Sn 0.644 0.125 0.250
2 Sn 0.875 0.894 0.750
3 Sn 0.375 0.356 0.750
4 Sn 0.106 0.625 0.250
5 Sr 0.000 0.000 0.000
6 Sr 0.750 0.250 0.500
7 Br 0.500 0.500 0.000
8 Br 0.250 0.750 0.500

Properties
V   131.6 Å³/f.u.
Magnetic moment   0.00 μB per cell

No. 10
# SrSnBr2

Crystalline SrSnBr2 at its relaxed geometry (GGA-PBE, Alexandria).

Unit cell a=5.568 b=5.568 c=5.568 alpha=60.00 beta=60.00 gamma=60.00
Element x y z (fractional)
1 Br 0.250 0.250 0.250
2 Br 0.750 0.750 0.750
3 Sn 0.500 0.500 0.500
4 Sr 0.000 0.000 0.000

Properties
V   122.1 Å³/f.u.
Magnetic moment   0.00 μB per cell

No. 11
# SrSnBr2

Crystalline SrSnBr2 at its relaxed geometry (GGA-PBE, Alexandria).

Unit cell a=11.451 b=11.451 c=11.451 alpha=20.77 beta=20.77 gamma=20.77
Element x y z (fractional)
1 Br 0.112 0.112 0.112
2 Br 0.888 0.888 0.888
3 Sr 0.500 0.500 0.500
4 Sn 0.000 0.000 0.000

Properties
V   165.3 Å³/f.u.
Magnetic moment   0.00 μB per cell

No. 12
# Sr3Sn5Br12

Crystalline Sr3Sn5Br12 at its relaxed geometry (GGA-PBE, Alexandria).

Unit cell a=16.031 b=16.031 c=16.031 alpha=109.47 beta=109.47 gamma=109.47
Site moments in Bohr magnetons follow the coordinates.
Element x y z (fractional)
1 Sr 0.875 0.750 0.125  0.01
2 Sr 0.250 0.125 0.375  0.01
3 Sr 0.875 0.125 0.250  0.01
4 Sr 0.625 0.375 0.750  0.01
5 Sr 0.625 0.250 0.375  0.01
6 Sr 0.250 0.625 0.875  0.01
7 Sr 0.375 0.750 0.625  0.01
8 Sr 0.750 0.375 0.125  0.01
9 Sr 0.125 0.875 0.750  0.01
10 Sr 0.125 0.250 0.875  0.01
11 Sr 0.375 0.625 0.250  0.01
12 Sr 0.750 0.875 0.625  0.01
13 Sn 0.125 0.750 0.375  0.33
14 Sn 0.375 0.125 0.750  0.33
15 Sn 0.250 0.875 0.125  0.33
16 Sn 0.000 0.000 0.000  0.18
17 Sn 0.500 0.000 0.000  0.18
18 Sn 0.750 0.625 0.375  0.33
19 Sn 0.250 0.375 0.625  0.33
20 Sn 0.875 0.250 0.625  0.33
21 Sn 0.125 0.375 0.250  0.33
22 Sn 0.500 0.500 0.500  0.18
23 Sn 0.000 0.000 0.500  0.18
24 Sn 0.000 0.500 0.000  0.18
25 Sn 0.875 0.625 0.750  0.33
26 Sn 0.000 0.500 0.500  0.18
27 Sn 0.375 0.250 0.125  0.33
28 Sn 0.625 0.875 0.250  0.33
29 Sn 0.625 0.750 0.875  0.33
30 Sn 0.500 0.000 0.500  0.18
31 Sn 0.500 0.500 0.000  0.18
32 Sn 0.750 0.125 0.875  0.33
33 Br 0.718 0.147 0.055  0.02
34 Br 0.837 0.929 0.282  0.02
35 Br 0.407 0.353 0.571  0.02
36 Br 0.945 0.593 0.163  0.02
37 Br 0.853 0.282 0.445  0.02
38 Br 0.571 0.718 0.663  0.02
39 Br 0.353 0.407 0.071  0.02
40 Br 0.163 0.093 0.945  0.02
41 Br 0.571 0.853 0.407  0.02
42 Br 0.907 0.071 0.853  0.02
43 Br 0.353 0.945 0.782  0.02
44 Br 0.929 0.837 0.782  0.02
45 Br 0.929 0.093 0.647  0.02
46 Br 0.445 0.782 0.853  0.02
47 Br 0.337 0.782 0.429  0.02
48 Br 0.945 0.353 0.282  0.02
49 Br 0.147 0.429 0.093  0.02
50 Br 0.782 0.337 0.929  0.02
51 Br 0.647 0.055 0.218  0.02
52 Br 0.337 0.555 0.407  0.02
53 Br 0.218 0.555 0.647  0.02
54 Br 0.055 0.407 0.837  0.02
55 Br 0.782 0.445 0.353  0.02
56 Br 0.093 0.929 0.147  0.02
57 Br 0.663 0.445 0.593  0.02
58 Br 0.429 0.147 0.593  0.02
59 Br 0.071 0.163 0.218  0.02
60 Br 0.429 0.282 0.337  0.02
61 Br 0.093 0.163 0.445  0.02
62 Br 0.555 0.218 0.147  0.02
63 Br 0.282 0.429 0.837  0.02
64 Br 0.593 0.945 0.663  0.02
65 Br 0.055 0.647 0.718  0.02
66 Br 0.837 0.907 0.055  0.02
67 Br 0.218 0.663 0.071  0.02
68 Br 0.445 0.663 0.093  0.02
69 Br 0.853 0.571 0.907  0.02
70 Br 0.593 0.647 0.429  0.02
71 Br 0.282 0.853 0.945  0.02
72 Br 0.407 0.055 0.337  0.02
73 Br 0.555 0.337 0.907  0.02
74 Br 0.663 0.218 0.571  0.02
75 Br 0.071 0.907 0.353  0.02
76 Br 0.907 0.837 0.555  0.02
77 Br 0.647 0.593 0.929  0.02
78 Br 0.147 0.718 0.555  0.02
79 Br 0.718 0.571 0.163  0.02
80 Br 0.163 0.071 0.718  0.02

Properties
V   792.9 Å³/f.u.
Magnetic moment   15.89 μB per cell

No. 13
# SrSn2Br6

Crystalline SrSn2Br6 at its relaxed geometry (GGA-PBE, Alexandria).

Unit cell a=7.001 b=7.809 c=12.715 alpha=90.03 beta=90.00 gamma=90.00
Element x y z (fractional)
1 Br 0.258 0.684 0.167
2 Br 0.223 0.659 0.500
3 Br 0.277 0.159 0.000
4 Br 0.244 0.184 0.334
5 Br 0.756 0.816 0.666
6 Br 0.742 0.316 0.833
7 Br 0.777 0.341 0.500
8 Br 0.723 0.841 0.000
9 Br 0.256 0.684 0.834
10 Br 0.242 0.184 0.667
11 Br 0.758 0.816 0.333
12 Br 0.744 0.316 0.166
13 Sn 0.501 0.000 0.176
14 Sn 0.999 0.500 0.676
15 Sn 0.001 0.500 0.324
16 Sn 0.499 0.000 0.824
17 Sr 0.500 0.500 0.000
18 Sr 0.000 0.000 0.500

Properties
V   347.6 Å³/f.u.
Magnetic moment   0.00 μB per cell

No. 14
# Sr3SnBr

Crystalline Sr3SnBr at its relaxed geometry (GGA-PBE, Alexandria).

Unit cell a=5.797 b=5.797 c=5.797 alpha=90.00 beta=90.00 gamma=90.00
Element x y z (fractional)
1 Sr 0.000 0.000 0.500
2 Sr 0.000 0.500 0.000
3 Sr 0.500 0.000 0.000
4 Sn 0.500 0.500 0.500
5 Br 0.000 0.000 0.000

Properties
V   194.8 Å³/f.u.
Magnetic moment   0.00 μB per cell

No. 15
# Sr5SnBr12

Crystalline Sr5SnBr12 at its relaxed geometry (GGA-PBE, Alexandria).

Unit cell a=7.916 b=7.936 c=13.963 alpha=89.99 beta=89.97 gamma=60.08
Element x y z (fractional)
1 Br 0.834 0.000 0.387
2 Br 0.000 0.672 0.112
3 Br 0.328 0.000 0.112
4 Br 0.833 0.666 0.613
5 Br 0.328 0.672 0.888
6 Br 0.167 0.334 0.387
7 Br 0.166 0.000 0.613
8 Br 0.000 0.328 0.888
9 Br 0.501 0.666 0.387
10 Br 0.499 0.334 0.613
11 Br 0.672 0.000 0.888
12 Br 0.672 0.328 0.112
13 Sn 0.000 0.000 0.000
14 Sr 0.167 0.667 0.500
15 Sr 0.500 0.000 0.500
16 Sr 0.667 0.667 0.000
17 Sr 0.833 0.333 0.500
18 Sr 0.333 0.333 0.000

Properties
V   760.3 Å³/f.u.
Magnetic moment   0.00 μB per cell

No. 16
# SrSn2Br

Crystalline SrSn2Br at its relaxed geometry (GGA-PBE, Alexandria).

Unit cell a=5.643 b=5.643 c=5.643 alpha=60.00 beta=60.00 gamma=60.00
Element x y z (fractional)
1 Br 0.000 0.000 0.000
2 Sn 0.750 0.750 0.750
3 Sn 0.250 0.250 0.250
4 Sr 0.500 0.500 0.500

Properties
V   127.1 Å³/f.u.
Magnetic moment   0.00 μB per cell

No. 17
# Sr3SnBr8

Crystalline Sr3SnBr8 at its relaxed geometry (GGA-PBE, Alexandria).

Unit cell a=8.033 b=8.033 c=8.869 alpha=90.00 beta=90.00 gamma=116.78
Element x y z (fractional)
1 Br 0.770 0.721 0.254
2 Br 0.279 0.721 0.500
3 Br 0.724 0.276 0.000
4 Br 0.279 0.230 0.746
5 Br 0.721 0.770 0.746
6 Br 0.276 0.724 0.000
7 Br 0.230 0.279 0.254
8 Br 0.721 0.279 0.500
9 Sn 0.500 0.500 0.500
10 Sr 0.500 0.000 0.749
11 Sr 0.000 0.500 0.251
12 Sr 0.500 0.500 0.000

Properties
V   510.9 Å³/f.u.
Magnetic moment   0.00 μB per cell

No. 18
# Sr2Sn2Br7

Crystalline Sr2Sn2Br7 at its relaxed geometry (GGA-PBE, Alexandria).

Unit cell a=8.354 b=7.767 c=7.767 alpha=109.30 beta=96.07 gamma=96.07
Element x y z (fractional)
1 Sr 0.000 0.309 0.691
2 Sr 0.000 0.691 0.309
3 Br 0.808 0.355 0.355
4 Br 0.224 0.453 0.073
5 Br 0.776 0.547 0.927
6 Br 0.500 0.000 0.000
7 Br 0.224 0.073 0.453
8 Br 0.192 0.645 0.645
9 Br 0.776 0.927 0.547
10 Sn 0.558 0.695 0.695
11 Sn 0.442 0.305 0.305

Properties
V   467.7 Å³/f.u.
Magnetic moment   0.00 μB per cell

no.,raw total energy (eV/atom),ΔE_f (raw) (eV/atom)
1,-2.8210,-0.566
2,-3.1741,0.052
3,-3.6048,-1.695
4,-3.5712,-1.605
5,-3.3049,-0.984
6,-3.5881,-1.654
7,-3.0660,-0.922
8,-3.4274,-1.268
9,-3.5330,-0.693
10,-3.1047,-0.847
11,-3.3524,-1.095
12,-3.1535,-0.897
13,-3.4004,-1.209
14,-2.7176,-0.573
15,-3.6914,-1.887
16,-2.9648,-0.125
17,-3.6375,-1.768
18,-3.4227,-1.325